Entry 1:
VASP calculation (PBE-GGA) on crystalline ZrTaPt2 at its relaxed geometry.

The structure in POSCAR format:
```
ZrTaPt2
1.0
-5.7628 -3.4953 7.0789
-7.1658 -4.6275 4.7723
-4.8808 -6.0414 5.9344
Pt Ta Zr
2 1 1
direct
0.9988 0.9988 0.9988
0.2488 0.2488 0.2488
0.5063 0.5063 0.5063
0.7461 0.7461 0.7461
```

Properties
Symmetry: R3m, No. 160
ΔH_f (0 K) in eV/atom: -0.29

Entry 2:
VASP calculation (PBE-GGA) on crystalline Ca2CdBr6 at its relaxed geometry.

The structure in POSCAR format:
```
Ca2CdBr6
1.0
-2.3405 1.1632 -6.2874
4.6920 -4.2362 -2.5303
-8.2666 -9.9003 1.2457
Ca Cd Br
4 2 12
direct
0.0000 0.0000 0.3340
0.5000 0.5000 0.8340
0.5000 0.5000 0.1660
0.0000 0.0000 0.6660
0.0000 0.0000 0.0000
0.5000 0.5000 0.5000
0.3060 0.3060 0.3384
0.6940 0.6940 0.3384
0.1940 0.8060 0.8384
0.8060 0.1940 0.8384
0.1940 0.8060 0.1616
0.8060 0.1940 0.1616
0.3060 0.3060 0.6616
0.6940 0.6940 0.6616
0.2980 0.2980 0.0000
0.7020 0.7020 0.0000
0.2020 0.7980 0.5000
0.7980 0.2020 0.5000
```

Properties
Symmetry: P4_2/mnm, No. 136
ΔE_f (raw) in eV per atom: -1.608
Offset from the most stable computed form in kJ per mole of atoms: 3.2

Entry 3:
VASP calculation (PBE-GGA) on crystalline La6AsSe2S3 at its relaxed geometry.

The structure in POSCAR format:
```
La6AsSe2S3
1.0
-2.8798 -0.7732 -3.0092
-2.1788 -7.2345 3.9439
-4.2073 6.6588 5.2973
La As Se S
6 1 2 3
direct
0.3322 0.9271 0.6645
0.6624 0.5927 0.3248
0.6678 0.0729 0.3355
0.9972 0.2525 0.9944
0.0028 0.7475 0.0056
0.3376 0.4073 0.6752
0.5000 0.0000 0.0000
0.8323 0.6651 0.6646
0.1677 0.3349 0.3354
0.5000 0.5000 0.0000
0.8333 0.1673 0.6665
0.1667 0.8327 0.3335
```

Properties
Symmetry: C2/m, No. 12
ΔE_f (raw) in eV per atom: -2.028

Entry 4:
VASP calculation (PBE-GGA) on crystalline Si2RhBr at its relaxed geometry.

The structure in POSCAR format:
```
Si2RhBr
1.0
4.7585 -0.0022 0.0000
-0.1751 4.7552 0.0000
0.0000 0.0000 2.9413
Br Rh Si
1 1 2
direct
0.5000 0.0000 0.5000
0.0000 0.5000 0.5000
0.0000 0.0000 0.0000
0.5000 0.5000 0.0000
```

Properties
Symmetry: Cmmm, No. 65
ΔE_f (raw) in eV per atom: 0.465
Offset from the most stable computed form in kJ per mole of atoms: 48.8

Total moment: 0.0; 0.0; 0.0; 0.0 (Bohr magnetons per cell)
Volume: 71.5; 300.4; 325.2; 66.6 (Å³/f.u.)